The following is a GGA+U calculation of a geometry-optimized VGaN2O structure, from Alexandria via LeMat-Bulk.

Properties
Its total moment is 0.0000 μB per atom. Its space group is P4/mmm (123). The value obtained for the total energy is -6.239 eV/atom.

```
5
Lattice="-1.3578 0.1798 -3.6539 2.9085 -2.3109 -1.1945 -2.0993 -2.9699 0.6340" Properties=species:S:1:pos:R:3 pbc="T T T"
Ga -0.2743 -2.5505 -2.1072
V 0.0000 0.0000 0.0000
N -0.6789 0.0899 -1.8269
O -1.0497 -1.4850 0.3170
N 1.4543 -1.1555 -0.5973
```